CaHfCrAg2 | Alexandria via LeMat-Bulk | PBE-GGA | relaxed; space group = P4/mmm (123); DOS(E_F) = 4.5 states/eV/f.u.; energy relative to the elements = 2.031 eV/atom
1.0
-2.367 3.865 1.767
0.101 -1.971 4.447
4.610 2.387 0.953
Cr Ag Hf Ca
1 2 1 1
direct
0.500 0.500 0.500
0.500 0.000 0.000
0.000 0.500 0.000
0.000 0.000 0.500
0.000 0.000 0.000

=====

Ca2CrAgI | Alexandria via LeMat-Bulk | PBE-GGA | relaxed; uncorrected formation energy = 488 meV/atom; space group = P4/mmm (123); DOS(E_F) = 3.5 states/eV/f.u.
1.0
5.750 0.000 0.000
0.000 5.692 0.000
0.000 0.000 5.750
Ag Ca Cr I
1 2 1 1
direct
0.000 0.000 0.000
0.000 0.000 0.500
0.500 0.000 0.000
0.500 0.500 0.500
0.000 0.500 0.000

=====

Calculated volume, record by record: 125, 188 Å³/cell
Final energy, record by record: -17.1, -15.6 eV/f.u.